# PrInPd2 GGA-PBEsol relaxed
# * total magnetic moment: 0.000 μB per formula unit
# * density of states at the Fermi level: 9.5 states/eV per cell
# * density: 9.7 g cm⁻³
# * uncorrected energy: -91.405 eV per cell
# * ΔH_f (0 K): -2.8 eV per formula unit
data_PrInPd2
_chemical_formula_sum 'Pr4 In4 Pd8'
_cell_length_a 6.8482
_cell_length_b 6.8482
_cell_length_c 6.8482
_cell_angle_alpha 90.00
_cell_angle_beta 90.00
_cell_angle_gamma 90.00
_symmetry_space_group_name_H-M 'F m -3 m'
_symmetry_Int_Tables_number 225
_symmetry_space_group_name_Hall '-F 4 2 3'
loop_
_atom_site_label
_atom_site_fract_x
_atom_site_fract_y
_atom_site_fract_z
Pr1 0.0000 0.0000 0.0000
In1 0.0000 0.0000 0.5000
Pd1 0.2500 0.2500 0.2500

---

# Pr2InPd2 GGA-PBEsol relaxed
# * total magnetic moment: 0.000 μB per formula unit
# * density of states at the Fermi level: 5.8 states/eV per cell
# * density: 8.7 g cm⁻³
# * uncorrected energy: -58.346 eV per cell
# * ΔH_f (0 K): -3.9 eV per formula unit
data_Pr2InPd2
_chemical_formula_sum 'Pr4 In2 Pd4'
_cell_length_a 7.7303
_cell_length_b 7.7303
_cell_length_c 3.8866
_cell_angle_alpha 90.00
_cell_angle_beta 90.00
_cell_angle_gamma 90.00
_symmetry_space_group_name_H-M 'P 4/m b m'
_symmetry_Int_Tables_number 127
_symmetry_space_group_name_Hall '-P 4 2ab'
loop_
_atom_site_label
_atom_site_fract_x
_atom_site_fract_y
_atom_site_fract_z
Pr1 0.1752 0.3248 0.0000
In1 0.0000 0.0000 0.5000
Pd1 0.1269 0.6269 0.5000

---

# In2RePdPt GGA-PBEsol relaxed
# * total magnetic moment: 3.085 μB per formula unit
# * density of states at the Fermi level: 3.5 states/eV per cell
# * density: 10.6 g cm⁻³
# * uncorrected energy: -25.101 eV per cell
# * ΔH_f (0 K): 7.1 eV per formula unit
data_In2RePdPt
_chemical_formula_sum 'In2 Re1 Pd1 Pt1'
_cell_length_a 4.7810
_cell_length_b 4.7810
_cell_length_c 4.9306
_cell_angle_alpha 90.00
_cell_angle_beta 90.00
_cell_angle_gamma 90.00
_symmetry_space_group_name_H-M 'P 4/m m m'
_symmetry_Int_Tables_number 123
_symmetry_space_group_name_Hall '-P 4 2'
loop_
_atom_site_label
_atom_site_fract_x
_atom_site_fract_y
_atom_site_fract_z
In1 0.0000 0.5000 0.0000
Re1 0.0000 0.0000 0.5000
Pd1 0.5000 0.5000 0.0000
Pt1 0.5000 0.5000 0.5000

---

# Rb3InPd GGA-PBEsol relaxed
# * total magnetic moment: 0.093 μB per formula unit
# * density of states at the Fermi level: 14.8 states/eV per cell
# * density: 2.7 g cm⁻³
# * uncorrected energy: -8.378 eV per cell
# * ΔH_f (0 K): 3.6 eV per formula unit
data_Rb3InPd
_chemical_formula_sum 'Rb3 In1 Pd1'
_cell_length_a 6.6516
_cell_length_b 6.6516
_cell_length_c 6.6516
_cell_angle_alpha 90.00
_cell_angle_beta 90.00
_cell_angle_gamma 90.00
_symmetry_space_group_name_H-M 'P m -3 m'
_symmetry_Int_Tables_number 221
_symmetry_space_group_name_Hall '-P 4 2 3'
loop_
_atom_site_label
_atom_site_fract_x
_atom_site_fract_y
_atom_site_fract_z
Rb1 0.0000 0.0000 0.5000
In1 0.0000 0.0000 0.0000
Pd1 0.5000 0.5000 0.5000

---

# In2ReSiPd GGA-PBEsol relaxed
# * total magnetic moment: 0.000 μB per formula unit
# * E_form (uncorrected): 673 meV per atom
# * density of states at the Fermi level: 3.0 states/eV per cell
# * density: 7.8 g cm⁻³
# * uncorrected energy: -27.636 eV per cell
data_In2ReSiPd
_chemical_formula_sum 'In2 Re1 Si1 Pd1'
_cell_length_a 5.1012
_cell_length_b 5.1012
_cell_length_c 4.5283
_cell_angle_alpha 90.00
_cell_angle_beta 90.00
_cell_angle_gamma 90.00
_symmetry_space_group_name_H-M 'P 4/m m m'
_symmetry_Int_Tables_number 123
_symmetry_space_group_name_Hall '-P 4 2'
loop_
_atom_site_label
_atom_site_fract_x
_atom_site_fract_y
_atom_site_fract_z
In1 0.0000 0.5000 0.0000
Re1 0.0000 0.0000 0.0000
Si1 0.0000 0.0000 0.5000
Pd1 0.5000 0.5000 0.5000

---

# YIn2RePd GGA-PBEsol relaxed
# * total magnetic moment: 3.525 μB per formula unit
# * density of states at the Fermi level: 4.7 states/eV per cell
# * density: 6.9 g cm⁻³
# * uncorrected energy: -22.748 eV per cell
# * ΔH_f (0 K): 9.3 eV per formula unit
data_YIn2RePd
_chemical_formula_sum 'Y1 In2 Re1 Pd1'
_cell_length_a 5.5637
_cell_length_b 5.5637
_cell_length_c 4.7807
_cell_angle_alpha 90.00
_cell_angle_beta 90.00
_cell_angle_gamma 90.00
_symmetry_space_group_name_H-M 'P 4/m m m'
_symmetry_Int_Tables_number 123
_symmetry_space_group_name_Hall '-P 4 2'
loop_
_atom_site_label
_atom_site_fract_x
_atom_site_fract_y
_atom_site_fract_z
Y1 0.0000 0.0000 0.0000
In1 0.0000 0.5000 0.0000
Re1 0.5000 0.5000 0.5000
Pd1 0.0000 0.0000 0.5000

---

# In2PdRu GGA-PBEsol relaxed
# * total magnetic moment: 0.000 μB per formula unit
# * density of states at the Fermi level: 6.7 states/eV per cell
# * density: 11.0 g cm⁻³
# * uncorrected energy: -91.809 eV per cell
# * ΔH_f (0 K): -0.9 eV per formula unit
data_In2PdRu
_chemical_formula_sum 'In8 Pd4 Ru4'
_cell_length_a 6.4155
_cell_length_b 6.4155
_cell_length_c 6.4155
_cell_angle_alpha 90.00
_cell_angle_beta 90.00
_cell_angle_gamma 90.00
_symmetry_space_group_name_H-M 'F m -3 m'
_symmetry_Int_Tables_number 225
_symmetry_space_group_name_Hall '-F 4 2 3'
loop_
_atom_site_label
_atom_site_fract_x
_atom_site_fract_y
_atom_site_fract_z
In1 0.2500 0.2500 0.2500
Pd1 0.0000 0.0000 0.0000
Ru1 0.0000 0.0000 0.5000

---

# ZnInPdS2 GGA-PBEsol relaxed
# * total magnetic moment: 0.001 μB per formula unit
# * E_form (uncorrected): 290 meV per atom
# * density of states at the Fermi level: 4.9 states/eV per cell
# * density: 5.8 g cm⁻³
# * uncorrected energy: -17.841 eV per cell
data_ZnInPdS2
_chemical_formula_sum 'Zn1 In1 Pd1 S2'
_cell_length_a 4.5709
_cell_length_b 4.5709
_cell_length_c 4.8300
_cell_angle_alpha 90.00
_cell_angle_beta 90.00
_cell_angle_gamma 90.00
_symmetry_space_group_name_H-M 'P 4/m m m'
_symmetry_Int_Tables_number 123
_symmetry_space_group_name_Hall '-P 4 2'
loop_
_atom_site_label
_atom_site_fract_x
_atom_site_fract_y
_atom_site_fract_z
Zn1 0.0000 0.0000 0.0000
In1 0.5000 0.5000 0.5000
Pd1 0.0000 0.0000 0.5000
S1 0.0000 0.5000 0.0000